<a>
A plane-wave DFT calculation with GGA-PBEsol was carried out for an optimized crystal structure of RePt2Rh.

The density of states at the Fermi level is 1.10 states/eV/atom. The value obtained for the theoretical density is 19.61 g/cm³. The calculation puts the spin magnetization at 0.00 μB/atom.

The structure belongs to space group C2/m (No. 12); the cell edges are 9.072, 2.726 and 4.721 Å and the angles 90.00°, 99.90° and 90.00°. The inequivalent atoms are Re at (0.000, 0.000, 0.000), Pt at (0.248, 0.500, 0.246) and Rh at (0.000, 0.500, 0.500).

---

<b>
A plane-wave DFT calculation with GGA-PBEsol was carried out for an optimized crystal structure of RePt2Rh.

The density of states at the Fermi level is 0.72 states/eV/atom. The value obtained for the theoretical density is 19.60 g/cm³. The calculation puts the spin magnetization at 0.00 μB/atom.

The structure belongs to space group Pmm2 (No. 25); the cell edges are 2.718, 3.865 and 5.477 Å and the angles 90.00°, 90.00° and 90.00°. The inequivalent atoms are Re at (0.000, 0.000, 0.000), Pt at (0.000, 0.000, 0.489), Pt at (0.500, 0.500, 0.751) and Rh at (0.500, 0.500, 0.230).

---

Which of them is the most stable? Correct choice: <b>.

---

<a>
A plane-wave DFT calculation with GGA-PBEsol was carried out for an optimized crystal structure of RePtRh.

The density of states at the Fermi level is 0.98 states/eV/atom. The value obtained for the theoretical density is 18.72 g/cm³. The calculation puts the spin magnetization at 0.00 μB/atom.

The structure belongs to space group I4mm (No. 107); the cell edges are 2.714, 2.714 and 11.663 Å and the angles 90.00°, 90.00° and 90.00°. The inequivalent atoms are Re at (0.000, 0.000, 0.000), Pt at (0.000, 0.000, 0.333) and Rh at (0.000, 0.000, 0.654).

---

<b>
A plane-wave DFT calculation with GGA-PBEsol was carried out for an optimized crystal structure of RePtRh.

The density of states at the Fermi level is 1.02 states/eV/atom. The value obtained for the theoretical density is 18.75 g/cm³. The calculation puts the spin magnetization at 0.00 μB/atom.

The structure belongs to space group P3m1 (No. 156); the cell edges are 2.7207, 2.7207 and 6.6907 Å and the angles 90.00°, 90.00° and 120.00°. The inequivalent atoms are Re at (0.0000, 0.0000, 0.0000), Pt at (0.6667, 0.3333, 0.3376) and Rh at (0.3333, 0.6667, 0.6845).

---

<c>
A plane-wave DFT calculation with GGA-PBEsol was carried out for an optimized crystal structure of RePtRh.

The density of states at the Fermi level is 0.61 states/eV/atom. The value obtained for the theoretical density is 18.93 g/cm³. The calculation puts the spin magnetization at 0.00 μB/atom.

The structure belongs to space group Imm2 (No. 44); the cell edges are 2.708, 3.855 and 8.135 Å and the angles 90.00°, 90.00° and 90.00°. The inequivalent atoms are Re at (0.000, 0.000, 0.000), Pt at (0.000, 0.000, 0.331) and Rh at (0.000, 0.000, 0.657).

---

Which of them is the most stable? Correct choice: <c>.